## Cr2AuF (PBE with a Hubbard U)

Data for Cr2AuF after structural relaxation.

Results
Energy above the lowest structure with this stoichiometry ... 137 meV/atom
Magnetic moment ... 39.65 μB/cell
Total DFT energy (no corrections) ... -85.62 eV/cell

abc: 6.5034 6.5034 6.5034
angles: 90.00 90.00 90.00
Closest atoms and distances in Å follow each position.
Space group Fm-3m (No. 225)
Unique sites:
1 Cr 0.2500 0.2500 0.2500 (multiplicity 8)  4 F 2.82, 4 Au 2.82
2 Au 0.0000 0.0000 0.0000 (multiplicity 4)  8 Cr 2.82
3 F 0.0000 0.0000 0.5000 (multiplicity 4)  8 Cr 2.82